Entry 1:
First-principles (PBE-GGA) data for crystalline SrAgO2 at its relaxed geometry, as listed in the Alexandria database.

Results
**SG**: No. 51
**Final energy**: -40.63 eV/cell
**Raw formation energy**: -1.467 eV/atom
**Magnetic moment**: 0.0 μB/f.u.

Lattice parameters (Å, degrees): 7.5736 4.5902 3.6512 90.00 90.00 90.00
Closest atoms and distances in Å follow each position.
Sites, in units of the cell vectors:
Sr  0.2500  0.0000  0.0069  6 O 2.47-2.65
Sr  0.7500  0.0000  0.9931  6 O 2.47-2.65
Ag  0.0000  0.5000  0.5000  4 O 2.11-2.30
Ag  0.5000  0.5000  0.5000  4 O 2.11-2.30
O  0.0000  0.0000  0.5000  2 Ag 2.30
O  0.2500  0.5000  0.7578  2 Ag 2.11
O  0.5000  0.0000  0.5000  2 Ag 2.30
O  0.7500  0.5000  0.2422  2 Ag 2.11

Entry 2:
First-principles (PBE-GGA) data for crystalline Tl2HgCl2 at its relaxed geometry, as listed in the Alexandria database.

Results
**SG**: No. 11
**Final energy**: -25.15 eV/cell
**Raw formation energy**: -0.770 eV/atom
**Magnetic moment**: 0.0 μB/f.u.

Lattice parameters (Å, degrees): 6.3145 4.5681 12.7596 90.00 101.71 90.00
Closest atoms and distances in Å follow each position.
Sites, in units of the cell vectors:
Tl  0.1441  0.2500  0.2121  4 Cl 3.04-3.23
Tl  0.2799  0.2500  0.5884  4 Cl 3.05-3.21
Tl  0.7201  0.7500  0.4116  4 Cl 3.05-3.21
Tl  0.8559  0.7500  0.7879  4 Cl 3.04-3.23
Hg  0.3200  0.7500  0.0255  2 Hg 3.38, 1 Cl 3.55, 3 Tl 3.63-3.76
Hg  0.6800  0.2500  0.9745  2 Hg 3.38, 1 Cl 3.55, 3 Tl 3.63-3.76
Cl  0.2068  0.7500  0.3728  4 Tl 3.04-3.21
Cl  0.3465  0.7500  0.7502  4 Tl 3.05-3.23
Cl  0.6535  0.2500  0.2498  4 Tl 3.05-3.23
Cl  0.7932  0.2500  0.6272  4 Tl 3.04-3.21

Entry 3:
First-principles (PBE-GGA) data for crystalline SrAs2P2 at its relaxed geometry, as listed in the Alexandria database.

Results
**SG**: No. 139
**Final energy**: -22.52 eV/cell
**ΔE_f**: -0.1441 eV/atom
**Magnetic moment**: 0.0 μB/f.u.

Lattice parameters (Å, degrees): 7.0443 7.0443 7.0443 145.81 145.81 49.13
Closest atoms and distances in Å follow each position.
Sites, in units of the cell vectors:
Sr  0.0000  0.0000  0.0000  8 P 3.12
As  0.2500  0.7500  0.5000  4 As 2.93, 4 P 2.97
As  0.7500  0.2500  0.5000  4 As 2.93, 4 P 2.97
P  0.4162  0.4162  0.0000  1 P 2.15
P  0.5838  0.5838  0.0000  1 P 2.15

Entry 4:
First-principles (PBE-GGA) data for crystalline Pr2Al4HgAu3 at its relaxed geometry, as listed in the Alexandria database.

Results
**SG**: No. 115
**Final energy**: -41.28 eV/cell
**ΔE_f**: -0.6618 eV/atom
**Magnetic moment**: 0.0 μB/f.u.

Lattice parameters (Å, degrees): 4.4593 4.4593 10.6265 90.00 90.00 90.00
Closest atoms and distances in Å follow each position.
Sites, in units of the cell vectors:
Pr  0.0000  0.5000  0.2479  8 Al 3.37-3.45, 6 Au 3.41-3.49, 2 Hg 3.49
Pr  0.5000  0.0000  0.7521  8 Al 3.37-3.45, 6 Au 3.41-3.49, 2 Hg 3.49
Al  0.0000  0.0000  0.0000  4 Au 2.59
Al  0.0000  0.5000  0.6402  3 Au 2.50-2.68, 2 Hg 2.68
Al  0.5000  0.0000  0.3598  3 Au 2.50-2.68, 2 Hg 2.68
Al  0.5000  0.5000  0.0000  4 Au 2.59
Hg  0.0000  0.0000  0.5000  4 Al 2.68
Au  0.0000  0.5000  0.8753  5 Al 2.50-2.59
Au  0.5000  0.0000  0.1247  5 Al 2.50-2.59
Au  0.5000  0.5000  0.5000  4 Al 2.68

Entry 5:
First-principles (PBE-GGA) data for crystalline HfZn2Pt2 at its relaxed geometry, as listed in the Alexandria database.

Results
**SG**: No. 15
**Final energy**: -56.30 eV/cell
**ΔE_f**: -0.7132 eV/atom
**Magnetic moment**: 0.0 μB/f.u.

Lattice parameters (Å, degrees): 5.1532 5.1532 8.7579 116.98 116.98 57.00
Closest atoms and distances in Å follow each position.
Sites, in units of the cell vectors:
Hf  0.1254  0.8746  0.7500  6 Pt 2.75-2.78
Hf  0.8746  0.1254  0.2500  6 Pt 2.75-2.78
Zn  0.2488  0.4987  0.9975  2 Zn 2.58, 5 Pt 2.61-2.82
Zn  0.4987  0.2488  0.4975  2 Zn 2.58, 5 Pt 2.61-2.82
Zn  0.5013  0.7512  0.5025  2 Zn 2.58, 5 Pt 2.61-2.82
Zn  0.7512  0.5013  0.0025  2 Zn 2.58, 5 Pt 2.61-2.82
Pt  0.0607  0.3104  0.6210  5 Zn 2.61-2.82, 3 Hf 2.75-2.78
Pt  0.3104  0.0607  0.1210  5 Zn 2.61-2.82, 3 Hf 2.75-2.78
Pt  0.6896  0.9393  0.8790  5 Zn 2.61-2.82, 3 Hf 2.75-2.78
Pt  0.9393  0.6896  0.3790  5 Zn 2.61-2.82, 3 Hf 2.75-2.78

Entry 6:
First-principles (PBE-GGA) data for crystalline OsRuRh at its relaxed geometry, as listed in the Alexandria database.

Results
**SG**: No. 107
**Final energy**: -27.67 eV/cell
**ΔE_f**: 0.0615 eV/atom
**Magnetic moment**: 0.0 μB/f.u.

Lattice parameters (Å, degrees): 6.0889 6.0889 6.0889 154.27 154.27 36.71
Closest atoms and distances in Å follow each position.
Sites, in units of the cell vectors:
Os  0.0000  0.0000  0.0000  4 Ru 2.66, 4 Os 2.71, 4 Rh 2.73
Ru  0.3407  0.3407  0.0000  4 Os 2.66, 4 Ru 2.71, 4 Rh 2.77
Rh  0.6683  0.6683  0.0000  4 Rh 2.71, 4 Os 2.73, 4 Ru 2.77

Entry 7:
First-principles (PBE-GGA) data for crystalline Al5As at its relaxed geometry, as listed in the Alexandria database.

Results
**SG**: No. 65
**Final energy**: -23.01 eV/cell
**ΔE_f**: 0.0594 eV/atom
**Magnetic moment**: 0.0 μB/f.u.

Lattice parameters (Å, degrees): 6.6350 6.6350 4.0478 90.00 90.00 144.94
Closest atoms and distances in Å follow each position.
Sites, in units of the cell vectors:
Al  0.0000  0.0000  0.0000  4 As 2.84, 8 Al 2.95-2.97
Al  0.1717  0.8283  0.5000  10 Al 2.81-2.97, 2 As 2.95
Al  0.3285  0.6715  0.0000  10 Al 2.82-2.95, 2 As 2.97
Al  0.6715  0.3285  0.0000  10 Al 2.82-2.95, 2 As 2.97
Al  0.8283  0.1717  0.5000  10 Al 2.81-2.97, 2 As 2.95
As  0.5000  0.5000  0.5000  12 Al 2.84-2.97

Entry 8:
First-principles (PBE-GGA) data for crystalline Ho5Hg2Ir at its relaxed geometry, as listed in the Alexandria database.

Results
**SG**: No. 63
**Final energy**: -68.99 eV/cell
**ΔE_f**: -0.2676 eV/atom
**Magnetic moment**: 0.3 μB/f.u.

Lattice parameters (Å, degrees): 6.7656 6.7656 12.6294 90.00 90.00 130.55
Closest atoms and distances in Å follow each position.
Sites, in units of the cell vectors:
Ho  0.0764  0.9236  0.6043  1 Ir 2.67
Ho  0.0764  0.9236  0.8957  1 Ir 2.67
Ho  0.3755  0.6245  0.5689  1 Ir 2.87, 2 Hg 3.00
Ho  0.3755  0.6245  0.9311  1 Ir 2.87, 2 Hg 3.00
Ho  0.3872  0.6128  0.2500  2 Hg 3.00, 2 Ir 3.20
Ho  0.6128  0.3872  0.7500  2 Hg 3.00, 2 Ir 3.20
Ho  0.6245  0.3755  0.0689  1 Ir 2.87, 2 Hg 3.00
Ho  0.6245  0.3755  0.4311  1 Ir 2.87, 2 Hg 3.00
Ho  0.9236  0.0764  0.1043  1 Ir 2.67
Ho  0.9236  0.0764  0.3957  1 Ir 2.67
Hg  0.1781  0.8219  0.1269  5 Ho 3.00-3.18, 1 Hg 3.11
Hg  0.1781  0.8219  0.3731  5 Ho 3.00-3.18, 1 Hg 3.11
Hg  0.8219  0.1781  0.6269  5 Ho 3.00-3.18, 1 Hg 3.11
Hg  0.8219  0.1781  0.8731  5 Ho 3.00-3.18, 1 Hg 3.11
Ir  0.2341  0.7659  0.7500  4 Ho 2.67-2.87
Ir  0.7659  0.2341  0.2500  4 Ho 2.67-2.87

Entry 9:
First-principles (PBE-GGA) data for crystalline CaLaSb2 at its relaxed geometry, as listed in the Alexandria database.

Results
**SG**: No. 225
**Final energy**: -18.77 eV/cell
**Raw formation energy**: -0.899 eV/atom
**Magnetic moment**: 0.0 μB/f.u.

Lattice parameters (Å, degrees): 5.5584 5.5584 5.5584 60.00 60.00 60.00
Closest atoms and distances in Å follow each position.
Sites, in units of the cell vectors:
Ca  0.0000  0.0000  0.0000  8 Sb 3.40
La  0.5000  0.5000  0.5000  8 Sb 3.40
Sb  0.2500  0.2500  0.2500  4 La 3.40, 4 Ca 3.40
Sb  0.7500  0.7500  0.7500  4 Ca 3.40, 4 La 3.40

Entry 10:
First-principles (PBE-GGA) data for crystalline La4PmPr6 at its relaxed geometry, as listed in the Alexandria database.

Results
**SG**: No. 121
**Final energy**: -50.29 eV/cell
**ΔE_f**: 0.2589 eV/atom
**Magnetic moment**: 0.0 μB/f.u.

Lattice parameters (Å, degrees): 9.7659 9.7659 9.7659 138.07 138.07 60.79
Closest atoms and distances in Å follow each position.
Sites, in units of the cell vectors:
La  0.1331  0.1331  0.6273  3 Pr 3.44-3.68, 1 Pm 3.56, 1 La 3.68
La  0.4941  0.8669  0.0000  3 Pr 3.44-3.68, 1 Pm 3.56, 1 La 3.68
La  0.5059  0.5059  0.3727  3 Pr 3.44-3.68, 1 Pm 3.56, 1 La 3.68
La  0.8669  0.4941  0.0000  3 Pr 3.44-3.68, 1 Pm 3.56, 1 La 3.68
Pm  0.5000  0.5000  0.0000  8 Pr 3.49-3.83, 4 La 3.56
Pr  0.0000  0.5000  0.5000  4 Pr 3.25, 2 Pm 3.49
Pr  0.0513  0.7179  0.0000  3 Pr 3.25-3.29, 1 La 3.44
Pr  0.2821  0.2821  0.3333  3 Pr 3.25-3.29, 1 La 3.44
Pr  0.5000  0.0000  0.5000  4 Pr 3.25, 2 Pm 3.49
Pr  0.7179  0.0513  0.0000  3 Pr 3.25-3.29, 1 La 3.44
Pr  0.9487  0.9487  0.6667  3 Pr 3.25-3.29, 1 La 3.44

Entry 11:
First-principles (PBE-GGA) data for crystalline Y4MgAl at its relaxed geometry, as listed in the Alexandria database.

Results
**SG**: No. 166
**Final energy**: -30.16 eV/cell
**ΔE_f**: 0.1717 eV/atom
**Magnetic moment**: 0.0 μB/f.u.

Lattice parameters (Å, degrees): 9.0461 9.0461 9.0461 32.80 32.80 32.80
Closest atoms and distances in Å follow each position.
Sites, in units of the cell vectors:
Y  0.1197  0.1197  0.1197  1 Al 3.07, 3 Mg 3.19
Y  0.3716  0.3716  0.3716  3 Al 3.11, 1 Mg 3.29
Y  0.6284  0.6284  0.6284  3 Al 3.11, 1 Mg 3.29
Y  0.8803  0.8803  0.8803  1 Al 3.07, 3 Mg 3.19
Mg  0.5000  0.5000  0.5000  8 Y 3.19-3.29
Al  0.0000  0.0000  0.0000  8 Y 3.07-3.11

Entry 12:
First-principles (PBE-GGA) data for crystalline Ce3TeH at its relaxed geometry, as listed in the Alexandria database.

Results
**SG**: No. 221
**Final energy**: -27.38 eV/cell
**Magnetic moment**: 2.2 μB/f.u.

Lattice parameters (Å, degrees): 4.7842 4.7842 4.7842 90.00 90.00 90.00
Closest atoms and distances in Å follow each position.
Sites, in units of the cell vectors:
Ce  0.0000  0.0000  0.5000  2 H 2.39
Ce  0.0000  0.5000  0.0000  2 H 2.39
Ce  0.5000  0.0000  0.0000  2 H 2.39
Te  0.5000  0.5000  0.5000  12 Ce 3.38
H  0.0000  0.0000  0.0000  6 Ce 2.39

Look up the final energy of the ninth one.
-18.77 eV/cell